First-principles (PBE) data for MgGa2Cu after structural relaxation, as listed in the Alexandria database.

The space group is C2/c (No. 15) and the conventional cell measures 5.126, 12.006 and 5.015 Å, with angles of 90.00, 116.19 and 90.00 degrees. The asymmetric unit holds Mg at (0.000, 0.095, 0.250), Ga at (0.192, 0.335, 0.113) and Cu at (0.000, 0.497, 0.750).

The total energy comes out at -3.07 eV per atom. Its volume is 17.307 Å³ per atom.

=====

First-principles (PBE) data for SrY3Ru after structural relaxation, as listed in the Alexandria database.

The space group is P2_1/m (No. 11) and the conventional cell measures 6.639, 6.219 and 7.833 Å, with angles of 90.00, 90.01 and 90.00 degrees. The asymmetric unit holds Sr at (0.187, 0.250, 0.000), Y at (0.154, 0.250, 0.500), Y at (0.326, 0.750, 0.254), Y at (0.326, 0.750, 0.746) and Ru at (0.500, 0.000, 0.500).

The value obtained for the offset from the most stable computed form is 0.04 kcal/mol of atoms. The total energy comes out at -6.24 eV per atom. Its volume is 32.345 Å³ per atom.

=====

First-principles (PBE) data for ZrUAgO6 after structural relaxation, as listed in the Alexandria database.

The space group is Imma (No. 74) and the conventional cell measures 7.788, 8.045 and 11.161 Å, with angles of 90.00, 90.00 and 90.00 degrees. The asymmetric unit holds Zr at (0.250, 0.250, 0.250), U at (0.000, 0.000, 0.000), Ag at (0.000, 0.250, 0.508), O at (0.000, 0.250, 0.316), O at (0.000, 0.250, 0.941) and O at (0.185, 0.068, 0.120).

The energy relative to the elements, uncorrected is -20.2 eV per formula unit. The total energy comes out at -8.08 eV per atom. Its volume is 19.425 Å³ per atom.